Entry 1:
## Sc2TaCS (PBE-GGA)

Data for an optimized crystal structure of Sc2TaCS.

- Calculated density: 5.2 g/cm³
- Symmetry: P4/mmm
- E_form (uncorrected): 0.849 eV per atom

a b c (Å): 4.723 4.723 4.470
angles (deg): 90.00 90.00 90.00
Element x y z (fractional)
Sc1 0.000 0.500 0.000
Sc2 0.500 0.000 0.000
Ta1 0.000 0.000 0.500
C1 0.500 0.500 0.500
S1 0.000 0.000 0.000

---

Entry 2:
## NdDyCd2 (PBE-GGA)

Data for an optimized crystal structure of NdDyCd2.

- DFT formation energy: -122 kJ/mol of formula units
- Calculated density: 8.0 g/cm³
- Symmetry: P4/mmm
- Offset from the most stable computed form: 0.000 eV/atom

a b c (Å): 3.766 3.766 7.740
angles (deg): 90.00 90.00 90.00
Element x y z (fractional)
Nd1 0.000 0.000 0.000
Dy1 0.000 0.000 0.500
Cd1 0.500 0.500 0.266
Cd2 0.500 0.500 0.734

---

Calculated DOS at the Fermi energy (states/eV/atom), listed in the same order as above: 1.00 1.10
Calculated total DFT energy (no corrections) (eV per atom), listed in the same order as above: -6.7246 -3.1156